(1)
Material: TmTl3Br6
Method: DFT, PBE-GGA
State: optimized geometry

Total magnetic moment, μB/f.u.: 0.00
Calculated volume, Å³ per atom: 36.80
Total energy, eV for the cell shown: -68.81

```
data_TmTl3Br6
_cell_length_a 7.705
_cell_length_b 8.525
_cell_length_c 13.232
_cell_angle_alpha 90.00
_cell_angle_beta 122.14
_cell_angle_gamma 90.00
_space_group_name_H-M_alt 'P 1 21/c 1'
_space_group_IT_number 14
loop_
_space_group_symop_operation_xyz
'x,y,z'
'-x,-y,-z'
'-x,y+1/2,-z+1/2'
'x,-y+1/2,z+1/2'
loop_
_atom_site_label
_atom_site_fract_x
_atom_site_fract_y
_atom_site_fract_z
Tm1 0.000 0.000 0.000
Tl1 0.298 0.079 0.766
Tl2 0.500 0.000 0.500
Br1 0.096 0.061 0.230
Br2 0.235 0.728 0.078
Br3 0.342 0.167 0.045
```

(2)
Material: Tl2WBr6
Method: DFT, PBE-GGA
State: optimized geometry

Total magnetic moment, μB/f.u.: 2.00
Calculated volume, Å³ per atom: 32.38
Total energy, eV for the cell shown: -66.72

```
data_Tl2WBr6
_cell_length_a 7.316
_cell_length_b 7.316
_cell_length_c 10.890
_cell_angle_alpha 90.00
_cell_angle_beta 90.00
_cell_angle_gamma 90.00
_space_group_name_H-M_alt 'P 4/m n c'
_space_group_IT_number 128
_space_group_name_Hall '-P 4 2n'
loop_
_atom_site_label
_atom_site_fract_x
_atom_site_fract_y
_atom_site_fract_z
Tl1 0.000 0.500 0.250
W1 0.000 0.000 0.000
Br1 0.000 0.000 0.235
Br2 0.193 0.289 0.000
```

(3)
Material: Tl2ZnBr4
Method: DFT, PBE-GGA
State: optimized geometry

Calculated volume, Å³ per atom: 35.99
ΔE to the lowest computed polymorph, meV per atom: 0

```
data_Tl2ZnBr4
_cell_length_a 7.515
_cell_length_b 7.687
_cell_length_c 9.187
_cell_angle_alpha 90.00
_cell_angle_beta 108.31
_cell_angle_gamma 90.00
_space_group_name_H-M_alt 'P 1 21 1'
_space_group_IT_number 4
loop_
_space_group_symop_operation_xyz
'x,y,z'
'-x,y+1/2,-z'
loop_
_atom_site_label
_atom_site_fract_x
_atom_site_fract_y
_atom_site_fract_z
Tl1 0.227 0.000 0.053
Tl2 0.257 0.987 0.566
Zn1 0.220 0.542 0.799
Br1 0.018 0.275 0.270
Br2 0.034 0.276 0.746
Br3 0.401 0.577 0.067
Br4 0.414 0.570 0.632
```